Computed, not measured: a relaxed structure of ErZrMn2O6 at the GGA+U level of DFT.

Properties
E_tot = -83.82 eV/cell
magnetic moment = 1.0 μB/f.u.

Geometry as extended XYZ:
```
10
Lattice="-2.282 -2.259 4.383 -1.051 -5.424 0.225 3.350 -3.200 3.468" Properties=species:S:1:pos:R:3 pbc="T T T"
O -0.717 -6.257 1.910
O 0.755 -4.761 5.942
O -1.842 -6.159 5.090
O -0.884 -3.292 3.597
O 0.958 -7.293 4.490
O 1.744 -4.887 3.306
Er -0.716 -8.053 5.709
Mn 3.160 -3.191 3.373
Mn -0.351 -5.384 3.855
Zr -0.844 -2.588 1.600
```